TaTlAg2S4, optimized geometry, DFT PBE; total DFT energy (no corrections) = -40.8 eV per formula unit
1.0
7.864 0.000 0.000
0.000 9.708 3.019
0.000 -9.708 3.019
Ta Tl Ag S
2 2 4 8
Direct
0.250 0.117 0.883 Ta
0.750 0.883 0.117 Ta
0.250 0.687 0.067 Tl
0.750 0.067 0.687 Tl
0.000 0.042 0.042 Ag
0.250 0.626 0.379 Ag
0.500 0.042 0.042 Ag
0.750 0.379 0.626 Ag
0.006 0.338 0.100 S
0.250 0.016 0.582 S
0.250 0.792 0.752 S
0.494 0.338 0.100 S
0.506 0.100 0.338 S
0.750 0.582 0.016 S
0.750 0.752 0.792 S
0.994 0.100 0.338 S